1.
# LiTl2PtF6 | Alexandria | PBE | optimized geometry
data_LiTl2PtF6
_cell_length_a 5.3876
_cell_length_b 6.0166
_cell_length_c 6.0166
_cell_angle_alpha 120.00
_cell_angle_beta 90.00
_cell_angle_gamma 90.00
_symmetry_space_group_name_H-M 'P 1'
_symmetry_Int_Tables_number 1
_symmetry_space_group_name_Hall 'P 1'
loop_
_atom_site_label
_atom_site_type_symbol
_atom_site_fract_x
_atom_site_fract_y
_atom_site_fract_z
Tl1 Tl 0.7160 0.6667 0.3333
Tl2 Tl 0.2840 0.3333 0.6667
F1 F 0.2549 0.3033 0.1516
F2 F 0.7451 0.1516 0.3033
F3 F 0.7451 0.1516 0.8484
F4 F 0.2549 0.8484 0.6967
F5 F 0.2549 0.8484 0.1516
F6 F 0.7451 0.6967 0.8484
Li1 Li 0.5000 0.0000 0.0000
Pt1 Pt 0.0000 0.0000 0.0000
# * E: -4.141 eV per atom
# * energy relative to the elements, uncorrected: -168.8 kJ per mole of atoms

2.
# LiZnPtF6 | Alexandria | PBE | optimized geometry
data_LiZnPtF6
_cell_length_a 4.7100
_cell_length_b 4.7100
_cell_length_c 9.9348
_cell_angle_alpha 90.00
_cell_angle_beta 90.00
_cell_angle_gamma 90.00
_symmetry_space_group_name_H-M 'P 1'
_symmetry_Int_Tables_number 1
_symmetry_space_group_name_Hall 'P 1'
loop_
_atom_site_label
_atom_site_type_symbol
_atom_site_fract_x
_atom_site_fract_y
_atom_site_fract_z
F1 F 0.3010 0.3010 0.6629
F2 F 0.1990 0.8010 0.1629
F3 F 0.2007 0.7993 0.8340
F4 F 0.2993 0.2993 0.3340
F5 F 0.6990 0.6990 0.6629
F6 F 0.8010 0.1990 0.1629
F7 F 0.1989 0.8011 0.5034
F8 F 0.8011 0.1989 0.5034
F9 F 0.3011 0.3011 0.0034
F10 F 0.7993 0.2007 0.8340
F11 F 0.6989 0.6989 0.0034
F12 F 0.7007 0.7007 0.3340
Pt1 Pt 0.0000 0.0000 0.3333
Pt2 Pt 0.5000 0.5000 0.8333
Zn1 Zn 0.0000 0.0000 0.0040
Zn2 Zn 0.5000 0.5000 0.5040
Li1 Li 0.0000 0.0000 0.6619
Li2 Li 0.5000 0.5000 0.1619
# * E: -4.193 eV per atom
# * energy relative to the elements, uncorrected: -185.2 kJ per mole of atoms